VASP calculation (GGA-PBE) on a relaxed structure of PmPr3Sm5.

symmetry = C2/m

POSCAR file:
```
PmPr3Sm5
1.0
8.491 -4.213 0.000
8.491 4.213 0.000
-8.182 0.000 9.372
Pm Pr Sm
2 6 10
Cartesian
-1.138 0.000 3.484
9.938 0.000 5.888
0.000 0.000 0.000
-4.091 0.000 4.686
-4.300 0.000 8.020
3.446 0.000 1.860
5.354 0.000 7.512
13.100 0.000 1.352
-1.052 1.637 6.806
4.400 1.532 4.686
1.600 0.000 5.175
6.883 0.000 0.771
-1.052 -1.637 6.806
9.851 1.637 2.566
1.917 0.000 8.601
7.200 0.000 4.197
4.400 -1.532 4.686
9.851 -1.637 2.566
```

---

VASP calculation (GGA-PBE) on a relaxed structure of Pm5Pr3Sm.

symmetry = C2/c

POSCAR file:
```
Pm5Pr3Sm
1.0
9.329 -3.274 0.000
9.329 3.274 0.000
-4.523 0.000 10.756
Pm Pr Sm
10 6 2
Cartesian
4.899 1.989 3.070
1.895 2.014 10.607
5.937 2.650 8.067
9.978 2.014 5.528
11.498 1.989 2.309
2.637 -1.989 8.448
4.156 -2.014 5.229
8.198 -2.650 2.689
12.240 -2.014 0.149
9.236 -1.989 7.687
3.299 1.180 6.779
8.574 1.180 9.356
9.329 0.000 0.000
7.067 0.000 5.378
5.561 -1.180 1.401
10.835 -1.180 3.977
8.198 0.823 2.689
5.937 -0.823 8.067
```

---

Fermi-level density of states, record by record: 26.7; 27.6 states/eV per cell
ΔH_f (0 K), record by record: 0.366; 0.260 eV per atom